BaCdGa2Ag: relaxed, PBE.

Properties
- ΔH_f (0 K): -0.317 eV per atom
- DOS at the Fermi energy: 0.71 states/eV/atom

POSCAR file:
```
BaCdGa2Ag
1.0
-0.5043 0.7930 4.6688
4.2047 -2.0852 0.8084
0.6630 5.4996 -3.2915
Ba Cd Ga Ag
1 1 2 1
Direct
0.0000 0.0000 0.0000 Ba
0.2500 0.7500 0.5000 Cd
0.6181 0.6181 0.2361 Ga
0.3819 0.3819 0.7639 Ga
0.7500 0.2500 0.5000 Ag
```

---

Ba2Cd4Ga3Ag: relaxed, PBE.

Properties
- ΔH_f (0 K): -0.293 eV per atom
- DOS at the Fermi energy: 0.57 states/eV/atom

POSCAR file:
```
Ba2Cd4Ga3Ag
1.0
4.8700 0.0000 0.0000
0.0000 4.8700 0.0000
0.0000 0.0000 11.1728
Ba Cd Ga Ag
2 4 3 1
Direct
0.5000 0.0000 0.2526 Ba
0.0000 0.5000 0.7474 Ba
0.5000 0.5000 0.0000 Cd
0.0000 0.0000 0.0000 Cd
0.5000 0.0000 0.6250 Cd
0.0000 0.5000 0.3750 Cd
0.0000 0.0000 0.5000 Ga
0.5000 0.0000 0.8681 Ga
0.0000 0.5000 0.1319 Ga
0.5000 0.5000 0.5000 Ag
```

---

BaCdGaAg3: relaxed, PBE.

Properties
- ΔH_f (0 K): -0.099 eV per atom
- DOS at the Fermi energy: 0.41 states/eV/atom

POSCAR file:
```
BaCdGaAg3
1.0
-3.9181 -3.5670 -3.5794
5.1565 -0.5024 -5.1438
-0.2147 -5.2630 5.4798
Ba Cd Ga Ag
2 2 2 6
Direct
0.7500 0.2850 0.5700 Ba
0.2500 0.7150 0.4300 Ba
0.2500 0.9677 0.9355 Cd
0.7500 0.0323 0.0645 Cd
0.2500 0.3768 0.7536 Ga
0.7500 0.6232 0.2464 Ga
0.2500 0.1774 0.3549 Ag
0.0000 0.3061 0.0000 Ag
0.5000 0.6939 0.0000 Ag
0.5000 0.3061 0.0000 Ag
0.0000 0.6939 0.0000 Ag
0.7500 0.8226 0.6451 Ag
```

---

BaCd4GaAg2: relaxed, PBE.

Properties
- ΔH_f (0 K): -0.101 eV per atom
- DOS at the Fermi energy: 0.46 states/eV/atom

POSCAR file:
```
BaCd4GaAg2
1.0
4.7837 0.0000 0.0000
2.3918 4.1428 0.0000
2.3918 1.3809 10.2771
Ba Cd Ga Ag
1 4 1 2
Direct
0.0000 0.0000 0.0000 Ba
0.4055 0.4055 0.7835 Cd
0.8708 0.8708 0.3876 Cd
0.1292 0.1292 0.6124 Cd
0.5945 0.5945 0.2165 Cd
0.5000 0.5000 0.5000 Ga
0.7598 0.7598 0.7206 Ag
0.2402 0.2402 0.2794 Ag
```

---

BaCdGaAg2: relaxed, PBE.

Properties
- Distance to the lowest polymorph of the same formula: 133 meV per atom
- ΔH_f (0 K): -0.116 eV per atom
- DOS at the Fermi energy: 0.39 states/eV/atom

POSCAR file:
```
BaCdGaAg2
1.0
-5.0250 -0.9527 -0.2035
0.3914 -0.9954 -5.0055
0.9249 -5.1109 1.0887
Ga Ba Ag Cd
1 1 2 1
Direct
0.0000 0.0000 0.0000 Ga
0.5000 0.5000 0.5000 Ba
0.0000 0.5000 0.0000 Ag
0.5000 0.0000 0.0000 Ag
0.0000 0.0000 0.5000 Cd
```

---

BaGdCdAg: relaxed, PBE.

Properties
- ΔH_f (0 K): -0.160 eV per atom
- DOS at the Fermi energy: 1.45 states/eV/atom

POSCAR file:
```
BaGdCdAg
1.0
-1.1582 -5.3034 1.3600
3.6643 -4.0584 -1.1915
2.8299 -2.5135 4.1221
Gd Ba Ag Cd
1 1 1 1
Direct
0.5000 0.5000 0.5000 Gd
0.0000 0.0000 0.0000 Ba
0.2500 0.2500 0.2500 Ag
0.7500 0.7500 0.7500 Cd
```

---

BaCd4Ag2Ge: relaxed, PBE.

Properties
- ΔH_f (0 K): -0.066 eV per atom
- DOS at the Fermi energy: 0.41 states/eV/atom

POSCAR file:
```
BaCd4Ag2Ge
1.0
4.8088 0.0000 0.0000
2.4044 4.1646 0.0000
2.4044 1.3882 10.2247
Ba Cd Ag Ge
1 4 2 1
Direct
0.0000 0.0000 0.0000 Ba
0.4057 0.4057 0.7829 Cd
0.8709 0.8709 0.3873 Cd
0.1291 0.1291 0.6127 Cd
0.5943 0.5943 0.2171 Cd
0.7597 0.7597 0.7208 Ag
0.2403 0.2403 0.2792 Ag
0.5000 0.5000 0.5000 Ge
```

---

Ba2CdAg4Ge3: relaxed, PBE.

Properties
- ΔH_f (0 K): -0.267 eV per atom
- DOS at the Fermi energy: 0.45 states/eV/atom

POSCAR file:
```
Ba2CdAg4Ge3
1.0
-1.0889 3.9572 2.3316
-2.3389 1.5845 -3.7816
-9.2206 -4.7297 3.7213
Ba Cd Ag Ge
2 1 4 3
Direct
0.5000 0.0000 0.2413 Ba
0.0000 0.5000 0.7587 Ba
0.5000 0.5000 0.5000 Cd
0.5000 0.5000 0.0000 Ag
0.0000 0.0000 0.0000 Ag
0.5000 0.0000 0.6364 Ag
0.0000 0.5000 0.3636 Ag
0.0000 0.0000 0.5000 Ge
0.5000 0.0000 0.8760 Ge
0.0000 0.5000 0.1240 Ge
```

---

Ba2Cd4AgGe3: relaxed, PBE.

Properties
- ΔH_f (0 K): -0.310 eV per atom
- DOS at the Fermi energy: 0.42 states/eV/atom

POSCAR file:
```
Ba2Cd4AgGe3
1.0
4.7339 0.0000 0.0000
0.0000 4.7339 0.0000
0.0000 0.0000 11.6638
Ba Cd Ag Ge
2 4 1 3
Direct
0.5000 0.0000 0.2490 Ba
0.0000 0.5000 0.7510 Ba
0.5000 0.5000 0.0000 Cd
0.0000 0.0000 0.0000 Cd
0.5000 0.0000 0.6297 Cd
0.0000 0.5000 0.3703 Cd
0.5000 0.5000 0.5000 Ag
0.0000 0.0000 0.5000 Ge
0.5000 0.0000 0.8633 Ge
0.0000 0.5000 0.1367 Ge
```

---

BaCdAgGe2: relaxed, PBE.

Properties
- ΔH_f (0 K): -0.357 eV per atom
- DOS at the Fermi energy: 0.34 states/eV/atom

POSCAR file:
```
BaCdAgGe2
1.0
-4.3880 0.3272 1.5637
-0.9124 -4.2652 -1.6680
4.2357 -0.2954 4.9749
Ba Cd Ag Ge
1 1 1 2
Direct
0.0000 0.0000 0.0000 Ba
0.2500 0.7500 0.5000 Cd
0.7500 0.2500 0.5000 Ag
0.6141 0.6141 0.2282 Ge
0.3859 0.3859 0.7718 Ge
```

---

Ba2CdAg3Ge4: relaxed, PBE.

Properties
- ΔH_f (0 K): -0.297 eV per atom
- DOS at the Fermi energy: 0.53 states/eV/atom

POSCAR file:
```
Ba2CdAg3Ge4
1.0
-3.3506 2.1974 2.3462
-2.1832 -4.0430 0.6687
5.7153 -1.5033 9.5701
Ba Cd Ag Ge
2 1 3 4
Direct
0.5000 0.0000 0.2461 Ba
0.0000 0.5000 0.7539 Ba
0.5000 0.5000 0.5000 Cd
0.0000 0.0000 0.5000 Ag
0.5000 0.0000 0.8748 Ag
0.0000 0.5000 0.1252 Ag
0.5000 0.5000 0.0000 Ge
0.0000 0.0000 0.0000 Ge
0.5000 0.0000 0.6374 Ge
0.0000 0.5000 0.3626 Ge
```

---

Ba2CdAgH6: relaxed, PBE.

Properties
- DOS at the Fermi energy: 0.19 states/eV/atom
- Energy: -2.968 eV per atom

POSCAR file:
```
Ba2CdAgH6
1.0
5.9118 -0.0005 -0.0044
-0.0006 5.9118 -0.0045
2.9523 2.9524 4.1949
Ba Cd Ag H
2 1 1 6
Direct
0.7490 0.2510 0.5000 Ba
0.2510 0.7490 0.5000 Ba
0.0000 0.0000 0.0000 Cd
0.5000 0.5000 0.0000 Ag
0.2602 0.2602 0.4836 H
0.7381 0.7380 0.0049 H
0.2596 0.7406 0.0000 H
0.7404 0.2594 0.0000 H
0.2619 0.2620 0.9951 H
0.7398 0.7398 0.5164 H
```

---

Ba2CdAg2H6: relaxed, PBE.

Properties
- DOS at the Fermi energy: 0.02 states/eV/atom
- Energy: -2.955 eV per atom

POSCAR file:
```
Ba2CdAg2H6
1.0
5.1228 0.0000 0.0000
-2.5614 5.3123 -0.0971
0.0000 -3.1711 6.7713
Ba Cd Ag H
2 1 2 6
Direct
0.6925 0.3849 0.2067 Ba
0.3075 0.6151 0.7933 Ba
0.5000 0.0000 0.5000 Cd
0.9757 0.9514 0.6838 Ag
0.0243 0.0486 0.3162 Ag
0.7838 0.5675 0.6268 H
0.1946 0.8584 0.1572 H
0.3361 0.1416 0.8428 H
0.8054 0.1416 0.8428 H
0.6639 0.8584 0.1572 H
0.2162 0.4325 0.3732 H
```

---

Ba3Cd2Ag2Hg4: relaxed, PBE.

Properties
- ΔH_f (0 K): -0.328 eV per atom
- DOS at the Fermi energy: 0.57 states/eV/atom

POSCAR file:
```
Ba3Cd2Ag2Hg4
1.0
5.1060 0.0000 0.0000
-2.5530 4.4219 0.0000
0.0000 0.0000 15.6586
Ba Cd Ag Hg
3 2 2 4
Direct
0.0000 0.0000 0.7281 Ba
0.0000 0.0000 0.0000 Ba
0.0000 0.0000 0.2719 Ba
0.6667 0.3333 0.4196 Cd
0.3333 0.6667 0.5804 Cd
0.6667 0.3333 0.8639 Ag
0.3333 0.6667 0.1361 Ag
0.6667 0.3333 0.1362 Hg
0.3333 0.6667 0.8638 Hg
0.6667 0.3333 0.6059 Hg
0.3333 0.6667 0.3941 Hg
```

---

BaCdAgHg2: relaxed, PBE.

Properties
- Distance to the lowest polymorph of the same formula: 142 meV per atom
- ΔH_f (0 K): -0.155 eV per atom
- DOS at the Fermi energy: 0.54 states/eV/atom

POSCAR file:
```
BaCdAgHg2
1.0
-1.9445 4.0790 3.0192
-0.4035 -3.3473 4.2623
4.9785 1.2803 1.4768
Cd Hg Ag Ba
1 2 1 1
Direct
0.0000 0.0000 0.5000 Cd
0.0000 0.5000 0.0000 Hg
0.5000 0.0000 0.0000 Hg
0.0000 0.0000 0.0000 Ag
0.5000 0.5000 0.5000 Ba
```

---

BaCdAgHg2: relaxed, PBE.

Properties
- Distance to the lowest polymorph of the same formula: 0 meV per atom
- ΔH_f (0 K): -0.296 eV per atom
- DOS at the Fermi energy: 0.53 states/eV/atom

POSCAR file:
```
BaCdAgHg2
1.0
-2.7642 3.1459 2.0412
-3.0219 -0.2945 -3.6383
-0.2771 -6.1688 3.8156
Ba Cd Ag Hg
1 1 1 2
Direct
0.4395 0.4395 0.8789 Ba
0.1949 0.6949 0.3897 Cd
0.8286 0.8286 0.6572 Ag
0.7004 0.2004 0.4008 Hg
0.0488 0.0488 0.0976 Hg
```

---

Ba2CdAg4Hg3: relaxed, PBE.

Properties
- ΔH_f (0 K): -0.252 eV per atom
- DOS at the Fermi energy: 0.48 states/eV/atom

POSCAR file:
```
Ba2CdAg4Hg3
1.0
4.8181 0.0000 0.0000
0.0000 4.8181 0.0000
0.0000 0.0000 11.9133
Ba Cd Ag Hg
2 1 4 3
Direct
0.5000 0.0000 0.2443 Ba
0.0000 0.5000 0.7557 Ba
0.5000 0.5000 0.5000 Cd
0.5000 0.5000 0.0000 Ag
0.0000 0.0000 0.0000 Ag
0.5000 0.0000 0.6333 Ag
0.0000 0.5000 0.3667 Ag
0.0000 0.0000 0.5000 Hg
0.5000 0.0000 0.8688 Hg
0.0000 0.5000 0.1312 Hg
```

---

BaCdAgHg: relaxed, PBE.

Properties
- Distance to the lowest polymorph of the same formula: 0 meV per atom
- ΔH_f (0 K): -0.301 eV per atom
- DOS at the Fermi energy: 0.53 states/eV/atom

POSCAR file:
```
BaCdAgHg
1.0
-4.0509 -2.0893 -2.0702
4.0272 -2.7977 0.9958
-3.3653 1.4695 5.1019
Ba Cd Ag Hg
1 1 1 1
Direct
0.6217 0.2435 0.5078 Ba
0.0960 0.1920 0.9300 Cd
0.4164 0.8329 0.8912 Ag
0.8322 0.6643 0.1383 Hg
```

---

Ba2Cd3AgHg4: relaxed, PBE.

Properties
- ΔH_f (0 K): -0.297 eV per atom
- DOS at the Fermi energy: 0.53 states/eV/atom

POSCAR file:
```
Ba2Cd3AgHg4
1.0
-4.7877 -0.2802 0.9770
-0.5031 -3.4346 -3.4504
2.1979 -8.6496 8.2898
Ba Cd Ag Hg
2 3 1 4
Direct
0.5000 0.0000 0.2543 Ba
0.0000 0.5000 0.7457 Ba
0.0000 0.0000 0.5000 Cd
0.5000 0.0000 0.8646 Cd
0.0000 0.5000 0.1354 Cd
0.5000 0.5000 0.5000 Ag
0.5000 0.5000 0.0000 Hg
0.0000 0.0000 0.0000 Hg
0.5000 0.0000 0.6298 Hg
0.0000 0.5000 0.3702 Hg
```

---

BaCdAg2Hg: relaxed, PBE.

Properties
- ΔH_f (0 K): -0.248 eV per atom
- DOS at the Fermi energy: 0.25 states/eV/atom

POSCAR file:
```
BaCdAg2Hg
1.0
-4.4802 1.3201 0.8112
-1.2058 -4.2875 0.3176
4.0281 1.6189 5.7611
Ba Cd Ag Hg
1 1 2 1
Direct
0.4465 0.4465 0.8931 Ba
0.1934 0.6934 0.3869 Cd
0.6836 0.1836 0.3671 Ag
0.0564 0.0564 0.1128 Ag
0.8322 0.8322 0.6644 Hg
```